The following is a DFT calculation (PBE) of an optimized crystal structure of FeSiCl.

E_form (uncorrected) ... -0.271 eV per atom
Excess energy over the best structure of this formula in the dataset ... 81 meV/atom
Density ... 3.61 g/cm³
D(E_F) ... 5.67 states/eV/cell
Raw total energy ... -5.515 eV per atom

Lattice parameters (Å, degrees): 7.6521 3.1533 9.1488 90.00 94.93 90.00
With the nearest neighbours (Å) after each atom.
Space group Cm (No. 8)
Asymmetric unit:
Fe 0.0000 0.0000 0.0000 x2  3 Si 2.26-2.38, 1 Cl 2.42
Fe 0.0977 0.5000 0.2257 x2  3 Si 2.33-2.45, 2 Cl 2.33
Si 0.1915 0.5000 0.9382 x2  1 Cl 2.14, 3 Fe 2.26-2.38
Si 0.3052 0.0000 0.1309 x2  6 Fe 2.33-2.54, 2 Si 2.47
Cl 0.0782 0.0000 0.4111 x2  2 Fe 2.33
Cl 0.3495 0.5000 0.7566 x2  1 Si 2.14

The following is a DFT calculation (PBE) of an optimized crystal structure of FeSiCl2.

E_form (uncorrected) ... -0.289 eV per atom
Excess energy over the best structure of this formula in the dataset ... 45 meV/atom
Density ... 3.35 g/cm³
D(E_F) ... 6.70 states/eV/cell
Raw total energy ... -4.683 eV per atom

Lattice parameters (Å, degrees): 3.2061 3.2061 25.8295 90.00 90.00 120.00
With the nearest neighbours (Å) after each atom.
Space group R3m (No. 160, hexagonal axes)
Asymmetric unit:
Fe 0.0000 0.0000 0.0000 x3  3 Si 2.36, 3 Cl 2.37
Si 0.0000 0.0000 0.7237 x3  3 Fe 2.36, 3 Cl 2.56
Cl 0.0000 0.0000 0.2758 x3  3 Fe 2.37
Cl 0.0000 0.0000 0.4587 x3  3 Si 2.56

The following is a DFT calculation (PBE) of an optimized crystal structure of Fe4SiCl.

E_form (uncorrected) ... 0.512 eV per atom
Density ... 5.62 g/cm³
D(E_F) ... 15.65 states/eV/cell
Raw total energy ... -6.342 eV per atom

Lattice parameters (Å, degrees): 6.9725 6.9725 6.9725 90.00 90.00 90.00
With the nearest neighbours (Å) after each atom.
Space group F-43m (No. 216)
Asymmetric unit:
Fe 0.1237 0.1237 0.1237 x16  6 Fe 2.44-2.49
Si 0.2500 0.2500 0.7500 x4  12 Fe 2.89, 4 Cl 3.02
Cl 0.0000 0.0000 0.5000 x4  12 Fe 2.89, 4 Si 3.02